(1)
PBE-GGA LiDy2Sn2, relaxed; DFT total energy = -4.345 eV per atom; calculated formation energy = -0.52 eV per atom; symmetry = No. 72; volume = 263.2 Å³ per cell
1.0
-0.921 -5.648 2.657
5.896 0.312 2.707
-5.014 5.514 2.493
Li Dy Sn
2 4 4
direct
0.750 0.500 0.000
0.250 0.500 0.000
0.861 0.645 0.721
0.139 0.355 0.279
0.639 0.923 0.279
0.361 0.077 0.721
0.382 0.620 0.765
0.618 0.380 0.235
0.118 0.855 0.235
0.882 0.145 0.765

=====

(2)
PBE-GGA Li2DySn2, relaxed; DFT total energy = -3.780 eV per atom; calculated formation energy = -0.49 eV per atom; symmetry = No. 12; volume = 114.7 Å³ per cell
1.0
-1.408 4.166 1.262
-0.094 -3.450 2.991
6.426 2.342 -0.563
Li Dy Sn
2 1 2
direct
0.312 0.124 0.437
0.688 0.876 0.563
0.500 0.500 0.000
0.077 0.654 0.729
0.923 0.346 0.271

=====

(3)
PBE-GGA Li4DySn, relaxed; DFT total energy = -2.861 eV per atom; calculated formation energy = -0.15 eV per atom; symmetry = No. 216; volume = 118.2 Å³ per cell
1.0
-2.304 4.884 1.088
-5.485 0.484 0.159
-2.554 0.830 4.810
Li Sn Dy
4 1 1
direct
0.625 0.625 0.124
0.625 0.124 0.625
0.625 0.625 0.625
0.124 0.625 0.625
0.000 0.000 0.000
0.250 0.250 0.250

=====

(4)
PBE-GGA Li4DySn4, relaxed; DFT total energy = -3.471 eV per atom; calculated formation energy = -0.33 eV per atom; symmetry = No. 137; volume = 402.1 Å³ per cell
1.0
6.553 0.000 0.000
0.000 6.553 0.000
0.000 0.000 9.364
Li Dy Sn
8 2 8
direct
0.229 0.500 0.923
0.771 0.500 0.923
0.500 0.771 0.077
0.500 0.229 0.077
0.000 0.729 0.423
0.000 0.271 0.423
0.271 0.000 0.577
0.729 0.000 0.577
0.000 0.000 0.000
0.500 0.500 0.500
0.500 0.777 0.782
0.500 0.223 0.782
0.777 0.500 0.218
0.223 0.500 0.218
0.277 0.000 0.282
0.723 0.000 0.282
0.000 0.277 0.718
0.000 0.723 0.718

=====

(5)
PBE-GGA LiDySn3, relaxed; DFT total energy = -4.111 eV per atom; calculated formation energy = -0.41 eV per atom; symmetry = No. 57; volume = 493.8 Å³ per cell
1.0
-3.955 -0.245 4.740
4.549 -1.850 3.700
2.690 12.384 2.885
Li Dy Sn
4 4 12
direct
0.500 0.250 0.108
0.000 0.750 0.892
0.500 0.750 0.892
0.000 0.250 0.108
0.750 0.504 0.689
0.250 0.496 0.311
0.750 0.004 0.311
0.250 0.996 0.689
0.000 0.250 0.503
0.500 0.750 0.497
0.000 0.750 0.497
0.500 0.250 0.503
0.250 0.181 0.918
0.750 0.819 0.082
0.250 0.681 0.082
0.750 0.319 0.918
0.250 0.501 0.734
0.750 0.499 0.266
0.250 0.001 0.266
0.750 0.999 0.734

=====

(6)
PBE-GGA LiDy2Sn, relaxed; DFT total energy = -4.191 eV per atom; calculated formation energy = -0.41 eV per atom; symmetry = No. 225; volume = 100.1 Å³ per cell
1.0
5.211 0.000 0.000
2.606 4.513 0.000
2.606 1.504 4.255
Li Sn Dy
1 1 2
direct
0.000 0.000 0.000
0.500 0.500 0.500
0.250 0.250 0.250
0.750 0.750 0.750

=====

> Which of these has the highest volume?

LiDySn3

=====

Please write out number 1 again, unchanged.
PBE-GGA LiDy2Sn2, relaxed; DFT total energy = -4.345 eV per atom; calculated formation energy = -0.52 eV per atom; symmetry = No. 72; volume = 263.2 Å³ per cell
1.0
-0.921 -5.648 2.657
5.896 0.312 2.707
-5.014 5.514 2.493
Li Dy Sn
2 4 4
direct
0.750 0.500 0.000
0.250 0.500 0.000
0.861 0.645 0.721
0.139 0.355 0.279
0.639 0.923 0.279
0.361 0.077 0.721
0.382 0.620 0.765
0.618 0.380 0.235
0.118 0.855 0.235
0.882 0.145 0.765

=====

Repeat the second record exactly.
PBE-GGA Li2DySn2, relaxed; DFT total energy = -3.780 eV per atom; calculated formation energy = -0.49 eV per atom; symmetry = No. 12; volume = 114.7 Å³ per cell
1.0
-1.408 4.166 1.262
-0.094 -3.450 2.991
6.426 2.342 -0.563
Li Dy Sn
2 1 2
direct
0.312 0.124 0.437
0.688 0.876 0.563
0.500 0.500 0.000
0.077 0.654 0.729
0.923 0.346 0.271

=====

Copy entry 3 word for word.
PBE-GGA Li4DySn, relaxed; DFT total energy = -2.861 eV per atom; calculated formation energy = -0.15 eV per atom; symmetry = No. 216; volume = 118.2 Å³ per cell
1.0
-2.304 4.884 1.088
-5.485 0.484 0.159
-2.554 0.830 4.810
Li Sn Dy
4 1 1
direct
0.625 0.625 0.124
0.625 0.124 0.625
0.625 0.625 0.625
0.124 0.625 0.625
0.000 0.000 0.000
0.250 0.250 0.250